No. 1
First-principles (PBE-GGA) data for a geometry-optimized SrGaRuO2 structure, as listed in the Alexandria database. Values from VASP.

The structure in Quantum ESPRESSO input format:
```
&SYSTEM
  ibrav = 0, nat = 5, ntyp = 4
/
ATOMIC_SPECIES
Ga 69.72 Ga.upf
O 16.00 O.upf
Ru 101.07 Ru.upf
Sr 87.62 Sr.upf
CELL_PARAMETERS angstrom
-3.213 -2.368 -1.011
-0.299 -1.514 4.497
-2.561 3.102 0.874
ATOMIC_POSITIONS crystal
Ga 0.000 0.000 0.000
O 0.500 0.000 0.000
O 0.000 0.000 0.500
Ru 0.000 0.500 0.000
Sr 0.500 0.500 0.500
```

Total moment, μB per formula unit: 1.61
Space-group type: P4/mmm (123)
V, Å³/atom: 16.115
E, eV per atom: -5.051

***

No. 2
First-principles (PBE-GGA) data for a geometry-optimized SrGaRuO6 structure, as listed in the Alexandria database. Values from VASP.

The structure in Quantum ESPRESSO input format:
```
&SYSTEM
  ibrav = 0, nat = 9, ntyp = 4
/
ATOMIC_SPECIES
O 16.00 O.upf
Sr 87.62 Sr.upf
Ga 69.72 Ga.upf
Ru 101.07 Ru.upf
CELL_PARAMETERS angstrom
5.211 0.000 0.000
2.606 4.513 0.000
0.000 0.000 5.365
ATOMIC_POSITIONS crystal
O 0.610 0.012 0.298
O 0.610 0.378 0.702
O 0.012 0.378 0.298
O 0.012 0.610 0.702
O 0.378 0.012 0.702
O 0.378 0.610 0.298
Sr 0.000 0.000 0.000
Ga 0.667 0.667 0.500
Ru 0.333 0.333 0.500
```

Total moment, μB per formula unit: 0.79
Space-group type: P312 (149)
V, Å³/atom: 14.020
E, eV per atom: -6.360

***

No. 3
First-principles (PBE-GGA) data for a geometry-optimized SrGaRu2O8 structure, as listed in the Alexandria database. Values from VASP.

The structure in Quantum ESPRESSO input format:
```
&SYSTEM
  ibrav = 0, nat = 12, ntyp = 4
/
ATOMIC_SPECIES
Ru 101.07 Ru.upf
O 16.00 O.upf
Sr 87.62 Sr.upf
Ga 69.72 Ga.upf
CELL_PARAMETERS angstrom
5.415 0.000 0.000
-2.707 4.689 0.000
0.000 0.000 7.083
ATOMIC_POSITIONS crystal
Ru 0.667 0.333 0.269
Ru 0.333 0.667 0.731
O 0.333 0.667 0.984
O 0.255 0.952 0.680
O 0.745 0.048 0.320
O 0.048 0.303 0.680
O 0.303 0.255 0.320
O 0.667 0.333 0.016
O 0.952 0.697 0.320
O 0.697 0.745 0.680
Sr 0.000 0.000 0.000
Ga 0.000 0.000 0.500
```

Total moment, μB per formula unit: 3.00
Space-group type: P-3 (147)
V, Å³/atom: 14.985
E, eV per atom: -6.476

***

> Which of these has the highest total moment?

SrGaRu2O8

***

> Which of these has the highest total moment?

SrGaRu2O8

***

> Among the records above, which one has the highest E?

SrGaRuO2

***

What did the second record say?
First-principles (PBE-GGA) data for a geometry-optimized SrGaRuO6 structure, as listed in the Alexandria database. Values from VASP.

The structure in Quantum ESPRESSO input format:
```
&SYSTEM
  ibrav = 0, nat = 9, ntyp = 4
/
ATOMIC_SPECIES
O 16.00 O.upf
Sr 87.62 Sr.upf
Ga 69.72 Ga.upf
Ru 101.07 Ru.upf
CELL_PARAMETERS angstrom
5.211 0.000 0.000
2.606 4.513 0.000
0.000 0.000 5.365
ATOMIC_POSITIONS crystal
O 0.610 0.012 0.298
O 0.610 0.378 0.702
O 0.012 0.378 0.298
O 0.012 0.610 0.702
O 0.378 0.012 0.702
O 0.378 0.610 0.298
Sr 0.000 0.000 0.000
Ga 0.667 0.667 0.500
Ru 0.333 0.333 0.500
```

Total moment, μB per formula unit: 0.79
Space-group type: P312 (149)
V, Å³/atom: 14.020
E, eV per atom: -6.360